# 1
# LiCr2O4

A geometry-optimized LiCr2O4 structure (GGA+U, Alexandria via LeMat-Bulk).

Calculated values
E: -6.984 eV per atom
relative energy among the computed polymorphs: 145.0 meV per atom
size of the total moment: 5.000 μB per formula unit
crystal system: tetragonal
calculated volume: 67 Å³ per cell
space group: P-4

abc: 4.7402 4.7402 2.9762
angles: 90.00 90.00 90.00
Fractional coordinates of all 7 atoms:
Li (0.0000, 0.0000, 0.0000)
Cr (0.0000, 0.5000, 0.2607)
Cr (0.5000, 0.0000, 0.7393)
O (0.1936, 0.2997, 0.7527)
O (0.2997, 0.8064, 0.2473)
O (0.7003, 0.1936, 0.2473)
O (0.8064, 0.7003, 0.7527)

---

# 2
# Li5CrO5

A geometry-optimized Li5CrO5 structure (GGA+U, Alexandria via LeMat-Bulk).

Calculated values
E: -5.574 eV per atom
size of the total moment: 1.012 μB per formula unit
crystal system: monoclinic
calculated volume: 104 Å³ per cell
space group: C2

abc: 5.1381 5.1381 5.6754
angles: 107.13 107.13 46.99
Fractional coordinates of all 11 atoms:
Li (0.0000, 0.0000, 0.0000)
Li (0.3124, 0.2699, 0.1621)
Li (0.3285, 0.2909, 0.6388)
Li (0.7091, 0.6715, 0.3612)
Li (0.7301, 0.6876, 0.8379)
Cr (0.0881, 0.9119, 0.5000)
O (0.1466, 0.1331, 0.3337)
O (0.1629, 0.1435, 0.8086)
O (0.4986, 0.5014, 0.5000)
O (0.8565, 0.8371, 0.1914)
O (0.8669, 0.8534, 0.6663)

---

# 3
# Li8CrO6

A geometry-optimized Li8CrO6 structure (GGA+U, Alexandria via LeMat-Bulk).

Calculated values
E: -5.361 eV per atom
relative energy among the computed polymorphs: 0.0 meV per atom
size of the total moment: 1.999 μB per formula unit
crystal system: hexagonal
calculated volume: 293 Å³ per cell
space group: P6_3cm

abc: 5.5791 5.5791 10.8570
angles: 90.00 90.00 120.00
Fractional coordinates of all 30 atoms:
Li (0.0000, 0.3128, 0.0000)
Li (0.0000, 0.3921, 0.3616)
Li (0.0000, 0.6079, 0.8616)
Li (0.0000, 0.6872, 0.5000)
Li (0.3128, 0.0000, 0.0000)
Li (0.3128, 0.3128, 0.5000)
Li (0.3333, 0.6667, 0.1401)
Li (0.3333, 0.6667, 0.6401)
Li (0.3921, 0.0000, 0.3616)
Li (0.3921, 0.3921, 0.8616)
Li (0.6079, 0.0000, 0.8616)
Li (0.6079, 0.6079, 0.3616)
Li (0.6667, 0.3333, 0.1401)
Li (0.6667, 0.3333, 0.6401)
Li (0.6872, 0.0000, 0.5000)
Li (0.6872, 0.6872, 0.0000)
Cr (0.0000, 0.0000, 0.2281)
Cr (0.0000, 0.0000, 0.7281)
O (0.0000, 0.0000, 0.3987)
O (0.0000, 0.0000, 0.8987)
O (0.0000, 0.3090, 0.1830)
O (0.0000, 0.6910, 0.6830)
O (0.3090, 0.0000, 0.1830)
O (0.3090, 0.3090, 0.6830)
O (0.3333, 0.6667, 0.4499)
O (0.3333, 0.6667, 0.9499)
O (0.6667, 0.3333, 0.4499)
O (0.6667, 0.3333, 0.9499)
O (0.6910, 0.0000, 0.6830)
O (0.6910, 0.6910, 0.1830)

---

# 4
# Li4Cr3O8

A geometry-optimized Li4Cr3O8 structure (GGA+U, Alexandria via LeMat-Bulk).

Calculated values
E: -6.470 eV per atom
size of the total moment: 6.000 μB per formula unit
crystal system: trigonal
calculated volume: 149 Å³ per cell
space group: R-3m

abc: 6.1154 6.1154 6.1154
angles: 56.62 56.62 56.62
Fractional coordinates of all 15 atoms:
Li (0.0000, 0.0000, 0.0000)
Li (0.1426, 0.1426, 0.1426)
Li (0.5000, 0.5000, 0.5000)
Li (0.8574, 0.8574, 0.8574)
Cr (0.0000, 0.5000, 0.5000)
Cr (0.5000, 0.0000, 0.5000)
Cr (0.5000, 0.5000, 0.0000)
O (0.2439, 0.2439, 0.7158)
O (0.2439, 0.7158, 0.2439)
O (0.2646, 0.2646, 0.2646)
O (0.2842, 0.7561, 0.7561)
O (0.7158, 0.2439, 0.2439)
O (0.7354, 0.7354, 0.7354)
O (0.7561, 0.2842, 0.7561)
O (0.7561, 0.7561, 0.2842)

---

# 5
# Li6CrO4

A geometry-optimized Li6CrO4 structure (GGA+U, Alexandria via LeMat-Bulk).

Calculated values
E: -5.269 eV per atom
size of the total moment: 4.000 μB per formula unit
crystal system: tetragonal
calculated volume: 212 Å³ per cell
space group: P4_2/nmc

abc: 6.7778 6.7778 4.6151
angles: 90.00 90.00 90.00
Fractional coordinates of all 22 atoms:
Li (0.0338, 0.5338, 0.2500)
Li (0.0338, 0.9662, 0.2500)
Li (0.2500, 0.2500, 0.1898)
Li (0.2500, 0.2500, 0.6898)
Li (0.4662, 0.5338, 0.2500)
Li (0.4662, 0.9662, 0.2500)
Li (0.5338, 0.0338, 0.7500)
Li (0.5338, 0.4662, 0.7500)
Li (0.7500, 0.7500, 0.3102)
Li (0.7500, 0.7500, 0.8102)
Li (0.9662, 0.0338, 0.7500)
Li (0.9662, 0.4662, 0.7500)
Cr (0.2500, 0.7500, 0.7500)
Cr (0.7500, 0.2500, 0.2500)
O (0.0203, 0.2500, 0.4500)
O (0.2500, 0.0203, 0.9500)
O (0.2500, 0.4797, 0.9500)
O (0.4797, 0.2500, 0.4500)
O (0.5203, 0.7500, 0.5500)
O (0.7500, 0.5203, 0.0500)
O (0.7500, 0.9797, 0.0500)
O (0.9797, 0.7500, 0.5500)

---

# 6
# Li4CrO5

A geometry-optimized Li4CrO5 structure (GGA+U, Alexandria via LeMat-Bulk).

Calculated values
E: -5.685 eV per atom
relative energy among the computed polymorphs: 32.2 meV per atom
size of the total moment: 0.000 μB per formula unit
crystal system: tetragonal
calculated volume: 91 Å³ per cell
space group: I4

abc: 5.0006 5.0006 5.0006
angles: 102.20 102.20 125.27
Fractional coordinates of all 10 atoms:
Li (0.0988, 0.3047, 0.4036)
Li (0.3047, 0.9012, 0.2059)
Li (0.6953, 0.0988, 0.7941)
Li (0.9012, 0.6953, 0.5964)
Cr (0.5359, 0.5359, 0.0000)
O (0.1828, 0.5354, 0.8200)
O (0.3628, 0.1828, 0.6474)
O (0.5354, 0.7154, 0.3526)
O (0.7154, 0.3628, 0.1800)
O (0.9051, 0.9051, 0.0000)

---

# 7
# LiCr2O4

A geometry-optimized LiCr2O4 structure (GGA+U, Alexandria via LeMat-Bulk).

Calculated values
E: -7.114 eV per atom
relative energy among the computed polymorphs: 14.9 meV per atom
size of the total moment: 5.000 μB per formula unit
crystal system: monoclinic
calculated volume: 284 Å³ per cell
space group: Cc

abc: 5.8745 5.8745 9.5091
angles: 90.35 90.35 120.06
Fractional coordinates of all 28 atoms:
Li (0.0011, 0.9989, 0.5000)
Li (0.3280, 0.6566, 0.3991)
Li (0.6566, 0.3280, 0.8991)
Li (0.9989, 0.0011, 0.0000)
Cr (0.1622, 0.8274, 0.7134)
Cr (0.1627, 0.3326, 0.7142)
Cr (0.3301, 0.6695, 0.9866)
Cr (0.3326, 0.1627, 0.2142)
Cr (0.6541, 0.8249, 0.7182)
Cr (0.6695, 0.3301, 0.4866)
Cr (0.8249, 0.6541, 0.2182)
Cr (0.8274, 0.1622, 0.2134)
O (0.0364, 0.5186, 0.8388)
O (0.1613, 0.3286, 0.1114)
O (0.1688, 0.8427, 0.1082)
O (0.3241, 0.6594, 0.6061)
O (0.3286, 0.1613, 0.6114)
O (0.4658, 0.5102, 0.8428)
O (0.4665, 0.9555, 0.8413)
O (0.5102, 0.4658, 0.3428)
O (0.5186, 0.0364, 0.3388)
O (0.6594, 0.3241, 0.1061)
O (0.6686, 0.8430, 0.1071)
O (0.8427, 0.1688, 0.6082)
O (0.8430, 0.6686, 0.6071)
O (0.9555, 0.4665, 0.3413)
O (0.9987, 0.9989, 0.3152)
O (0.9989, 0.9987, 0.8152)

---

# 8
# Li7CrO6

A geometry-optimized Li7CrO6 structure (GGA+U, Alexandria via LeMat-Bulk).

Calculated values
E: -5.397 eV per atom
size of the total moment: 0.937 μB per formula unit
crystal system: monoclinic
calculated volume: 295 Å³ per cell
space group: Cc

abc: 5.5690 5.5690 10.8721
angles: 90.07 90.07 60.97
Fractional coordinates of all 28 atoms:
Li (0.0018, 0.9982, 0.5000)
Li (0.0299, 0.6340, 0.8610)
Li (0.0477, 0.3275, 0.3553)
Li (0.3275, 0.0477, 0.8553)
Li (0.3365, 0.7441, 0.3192)
Li (0.3475, 0.7276, 0.7333)
Li (0.6340, 0.0299, 0.3610)
Li (0.6485, 0.6838, 0.0005)
Li (0.6838, 0.6485, 0.5005)
Li (0.7276, 0.3475, 0.2333)
Li (0.7412, 0.9435, 0.7302)
Li (0.7441, 0.3365, 0.8192)
Li (0.9435, 0.7412, 0.2302)
Li (0.9982, 0.0018, 0.0000)
Cr (0.3385, 0.3395, 0.0960)
Cr (0.3395, 0.3385, 0.5960)
O (0.0263, 0.9749, 0.8201)
O (0.0374, 0.6321, 0.0495)
O (0.0617, 0.3253, 0.5375)
O (0.3253, 0.0617, 0.0375)
O (0.3383, 0.3749, 0.2563)
O (0.3386, 0.6373, 0.5515)
O (0.3749, 0.3383, 0.7563)
O (0.6321, 0.0374, 0.5495)
O (0.6373, 0.3386, 0.0515)
O (0.6617, 0.7016, 0.8213)
O (0.7016, 0.6617, 0.3213)
O (0.9749, 0.0263, 0.3201)

---

# 9
# LiCr2O4

A geometry-optimized LiCr2O4 structure (GGA+U, Alexandria via LeMat-Bulk).

Calculated values
E: -7.036 eV per atom
relative energy among the computed polymorphs: 92.7 meV per atom
size of the total moment: 5.000 μB per formula unit
crystal system: orthorhombic
calculated volume: 143 Å³ per cell
space group: Imma

abc: 5.8536 5.8536 5.8536
angles: 120.24 118.74 90.89
Fractional coordinates of all 14 atoms:
Li (0.5000, 0.0000, 0.0000)
Li (0.5000, 0.5000, 0.5000)
Cr (0.0000, 0.0000, 0.0000)
Cr (0.1205, 0.3705, 0.7500)
Cr (0.5000, 0.0000, 0.5000)
Cr (0.8795, 0.6295, 0.2500)
O (0.2392, 0.2440, 0.9952)
O (0.2491, 0.2353, 0.4862)
O (0.2491, 0.7629, 0.0138)
O (0.2511, 0.7560, 0.4952)
O (0.7489, 0.2440, 0.5048)
O (0.7509, 0.2371, 0.9862)
O (0.7509, 0.7647, 0.5138)
O (0.7608, 0.7560, 0.0048)

---

# 10
# LiCr2O4

A geometry-optimized LiCr2O4 structure (GGA+U, Alexandria via LeMat-Bulk).

Calculated values
E: -7.058 eV per atom
relative energy among the computed polymorphs: 70.8 meV per atom
size of the total moment: 5.000 μB per formula unit
crystal system: monoclinic
calculated volume: 152 Å³ per cell
space group: C2/c

abc: 5.9892 5.9892 5.0884
angles: 102.76 102.76 59.27
Fractional coordinates of all 14 atoms:
Li (0.2036, 0.7964, 0.7500)
Li (0.7964, 0.2036, 0.2500)
Cr (0.1233, 0.3705, 0.7532)
Cr (0.3705, 0.1233, 0.2532)
Cr (0.6295, 0.8767, 0.7468)
Cr (0.8767, 0.6295, 0.2468)
O (0.0207, 0.2717, 0.0375)
O (0.2207, 0.4750, 0.4741)
O (0.2717, 0.0207, 0.5375)
O (0.4750, 0.2207, 0.9741)
O (0.5250, 0.7793, 0.0259)
O (0.7283, 0.9793, 0.4625)
O (0.7793, 0.5250, 0.5259)
O (0.9793, 0.7283, 0.9625)

---

# 11
# Li17Cr2O12

A geometry-optimized Li17Cr2O12 structure (GGA+U, Alexandria via LeMat-Bulk).

Calculated values
E: -5.260 eV per atom
size of the total moment: 4.998 μB per formula unit
crystal system: triclinic
calculated volume: 260 Å³ per cell
space group: P1

abc: 5.4851 5.9402 8.0500
angles: 83.19 89.61 89.55
Fractional coordinates of all 31 atoms:
Li (0.0000, 0.0000, 0.0000)
Li (0.0042, 0.3073, 0.6521)
Li (0.1226, 0.3813, 0.9213)
Li (0.1685, 0.7054, 0.6305)
Li (0.2805, 0.7550, 0.9167)
Li (0.3230, 0.4374, 0.2132)
Li (0.3442, 0.0926, 0.5830)
Li (0.4556, 0.4669, 0.4910)
Li (0.4620, 0.1407, 0.8478)
Li (0.5128, 0.7870, 0.1900)
Li (0.6482, 0.1986, 0.1281)
Li (0.6516, 0.8468, 0.4565)
Li (0.6634, 0.8531, 0.9484)
Li (0.7873, 0.2591, 0.4064)
Li (0.8320, 0.9555, 0.7093)
Li (0.8560, 0.5741, 0.0896)
Li (0.9824, 0.6163, 0.3567)
Cr (0.1575, 0.0286, 0.2914)
Cr (0.6486, 0.5287, 0.7826)
O (0.0023, 0.3195, 0.2115)
O (0.0102, 0.0343, 0.5107)
O (0.3033, 0.7298, 0.3686)
O (0.3249, 0.0205, 0.0633)
O (0.3289, 0.3818, 0.7110)
O (0.4570, 0.1895, 0.3624)
O (0.4958, 0.8515, 0.7264)
O (0.5169, 0.5485, 0.0264)
O (0.7881, 0.5280, 0.5456)
O (0.8085, 0.2099, 0.8578)
O (0.8511, 0.8647, 0.2035)
O (0.9540, 0.6976, 0.8637)

---

# 12
# LiCr2O4

A geometry-optimized LiCr2O4 structure (GGA+U, Alexandria via LeMat-Bulk).

Calculated values
E: -7.071 eV per atom
relative energy among the computed polymorphs: 57.7 meV per atom
size of the total moment: 5.000 μB per formula unit
crystal system: triclinic
calculated volume: 74 Å³ per cell
space group: P-1

abc: 2.9401 5.1358 5.2520
angles: 110.16 90.04 90.59
Fractional coordinates of all 7 atoms:
Li (0.0000, 0.0000, 0.0000)
Cr (0.0000, 0.5000, 0.5000)
Cr (0.5000, 0.0000, 0.5000)
O (0.0074, 0.7734, 0.2975)
O (0.4956, 0.2452, 0.2879)
O (0.5044, 0.7548, 0.7121)
O (0.9926, 0.2266, 0.7025)

---

# 13
# Li6Cr2O7

A geometry-optimized Li6Cr2O7 structure (GGA+U, Alexandria via LeMat-Bulk).

Calculated values
E: -5.935 eV per atom
relative energy among the computed polymorphs: 1.7 meV per atom
size of the total moment: 3.998 μB per formula unit
crystal system: monoclinic
calculated volume: 270 Å³ per cell
space group: P2_1/c

abc: 5.0597 5.8076 9.8130
angles: 90.00 110.59 90.00
Fractional coordinates of all 30 atoms:
Li (0.1992, 0.0003, 0.1325)
Li (0.1992, 0.4997, 0.6325)
Li (0.2311, 0.2247, 0.3639)
Li (0.2311, 0.2753, 0.8639)
Li (0.2346, 0.7240, 0.8660)
Li (0.2346, 0.7760, 0.3660)
Li (0.7654, 0.2240, 0.6340)
Li (0.7654, 0.2760, 0.1340)
Li (0.7689, 0.7247, 0.1361)
Li (0.7689, 0.7753, 0.6361)
Li (0.8008, 0.9997, 0.8675)
Li (0.8008, 0.5003, 0.3675)
Cr (0.2585, 0.0010, 0.6323)
Cr (0.2585, 0.4990, 0.1323)
Cr (0.7415, 0.5010, 0.8677)
Cr (0.7415, 0.9990, 0.3677)
O (0.0121, 0.7254, 0.0035)
O (0.0121, 0.7746, 0.5035)
O (0.0532, 0.5005, 0.2537)
O (0.0532, 0.9995, 0.7537)
O (0.4927, 0.2492, 0.7433)
O (0.4927, 0.2508, 0.2433)
O (0.5000, 0.0000, 0.5000)
O (0.5000, 0.5000, 0.0000)
O (0.5073, 0.7492, 0.7567)
O (0.5073, 0.7508, 0.2567)
O (0.9468, 0.0005, 0.2463)
O (0.9468, 0.4995, 0.7463)
O (0.9879, 0.2254, 0.4965)
O (0.9879, 0.2746, 0.9965)

---

# 14
# Li4CrO4

A geometry-optimized Li4CrO4 structure (GGA+U, Alexandria via LeMat-Bulk).

Calculated values
E: -5.759 eV per atom
relative energy among the computed polymorphs: 0.0 meV per atom
size of the total moment: 2.000 μB per formula unit
crystal system: orthorhombic
calculated volume: 182 Å³ per cell
space group: Cmcm

abc: 5.4423 5.4423 6.1641
angles: 90.00 90.00 86.30
Fractional coordinates of all 18 atoms:
Li (0.0782, 0.6260, 0.7500)
Li (0.3395, 0.3395, 0.0000)
Li (0.3395, 0.3395, 0.5000)
Li (0.3740, 0.9218, 0.7500)
Li (0.6260, 0.0782, 0.2500)
Li (0.6605, 0.6605, 0.0000)
Li (0.6605, 0.6605, 0.5000)
Li (0.9218, 0.3740, 0.2500)
Cr (0.1609, 0.8391, 0.2500)
Cr (0.8391, 0.1609, 0.7500)
O (0.1588, 0.2354, 0.7500)
O (0.2354, 0.1588, 0.2500)
O (0.2966, 0.7034, 0.0048)
O (0.2966, 0.7034, 0.4952)
O (0.7034, 0.2966, 0.5048)
O (0.7034, 0.2966, 0.9952)
O (0.7646, 0.8412, 0.7500)
O (0.8412, 0.7646, 0.2500)

---

# 15
# LiCr2O6

A geometry-optimized LiCr2O6 structure (GGA+U, Alexandria via LeMat-Bulk).

Calculated values
E: -6.496 eV per atom
size of the total moment: 1.000 μB per formula unit
crystal system: monoclinic
calculated volume: 122 Å³ per cell
space group: C2/m

abc: 5.3315 5.3315 6.7916
angles: 99.80 99.80 39.91
Fractional coordinates of all 9 atoms:
Li (0.0000, 0.0000, 0.0000)
Cr (0.2399, 0.2399, 0.6816)
Cr (0.7601, 0.7601, 0.3184)
O (0.0960, 0.0960, 0.7593)
O (0.2549, 0.2549, 0.3985)
O (0.3707, 0.3707, 0.8643)
O (0.6293, 0.6293, 0.1357)
O (0.7451, 0.7451, 0.6015)
O (0.9040, 0.9040, 0.2407)

---

# 16
# LiCr2O4

A geometry-optimized LiCr2O4 structure (GGA+U, Alexandria via LeMat-Bulk).

Calculated values
E: -7.129 eV per atom
relative energy among the computed polymorphs: 0.0 meV per atom
size of the total moment: 5.000 μB per formula unit
crystal system: triclinic
calculated volume: 294 Å³ per cell
space group: P1

abc: 5.9268 5.9766 8.3025
angles: 89.68 89.73 89.97
Fractional coordinates of all 28 atoms:
Li (0.0000, 0.0000, 0.0000)
Li (0.0024, 0.5002, 0.2481)
Li (0.4964, 0.5024, 0.5027)
Li (0.5008, 0.9950, 0.7488)
Cr (0.0028, 0.7503, 0.6243)
Cr (0.2458, 0.0009, 0.3745)
Cr (0.2510, 0.4980, 0.8750)
Cr (0.4986, 0.2547, 0.1222)
Cr (0.5068, 0.7511, 0.1259)
Cr (0.7482, 0.0040, 0.3766)
Cr (0.7546, 0.5003, 0.8743)
Cr (0.9972, 0.2544, 0.6242)
O (0.0004, 0.7241, 0.8651)
O (0.0040, 0.7856, 0.3778)
O (0.2232, 0.5000, 0.6360)
O (0.2283, 0.0085, 0.6037)
O (0.2772, 0.0006, 0.1415)
O (0.2880, 0.4937, 0.1221)
O (0.4925, 0.2243, 0.3604)
O (0.5064, 0.7866, 0.3684)
O (0.5084, 0.2666, 0.8936)
O (0.5104, 0.7157, 0.8848)
O (0.7225, 0.0136, 0.1418)
O (0.7300, 0.4958, 0.1088)
O (0.7700, 0.5060, 0.6434)
O (0.7708, 0.9990, 0.6039)
O (0.9920, 0.2203, 0.3799)
O (0.9932, 0.2809, 0.8678)